An optimized crystal structure of CeGaRu. Source: Alexandria via LeMat-Bulk, functional PBE.

Cell: 4.3713 4.3713 3.7175 Å, 90.00 90.00 120.00°
With the nearest neighbours (Å) after each atom.
Fractional coordinates of all 3 atoms:
Ce (0.0000, 0.0000, 0.0000)  6 Ru 3.13, 6 Ga 3.13
Ga (0.6667, 0.3333, 0.5000)  3 Ru 2.52
Ru (0.3333, 0.6667, 0.5000)  3 Ga 2.52

Results
Uncorrected energy = -6.498 eV/atom
Total moment = 0.00 μB per formula unit
Calculated volume = 20.5 A^3/atom
Energy of formation = -0.419 eV per atom